Entry from Alexandria via LeMat-Bulk: an optimized crystal structure of MoNF2 (PBE with a Hubbard U).

Cell lengths 9.336, 9.336, 9.336 Å; angles 18.79, 18.79, 18.79 degrees
Last column: magnetic moment on the atom in μB.
Positions (direct):
N1 0.500 0.500 0.500  1.97
F1 0.933 0.933 0.933  0.00
F2 0.067 0.067 0.067  0.00
Mo1 0.000 0.000 0.000  0.01

Values from the calculation:
For the total energy, the calculation gives -4.361 eV/atom. The density of states at the Fermi level comes out at 0.1731 states/eV per atom.